Material: Ba3MnTe2O9
Method: DFT, GGA+U
State: relaxed

```
data_Ba3MnTe2O9
_chemical_formula_sum 'Ba3 Mn1 Te2 O9'
_symmetry_space_group_name_H-M 'P -3 m 1'
_symmetry_Int_Tables_number 164
_symmetry_space_group_name_Hall '-P 3 2"'
_cell_length_a 5.9860
_cell_length_b 5.9860
_cell_length_c 7.3222
_cell_angle_alpha 90.00
_cell_angle_beta 90.00
_cell_angle_gamma 120.00
loop_
_atom_site_label
_atom_site_fract_x
_atom_site_fract_y
_atom_site_fract_z
Ba1 0.0000 0.0000 0.0000
Ba2 0.3333 0.6667 0.6662
Mn1 0.0000 0.0000 0.5000
Te1 0.3333 0.6667 0.1768
O1 0.0000 0.5000 0.0000
O2 0.1740 0.3480 0.3286
```

Output
The uncorrected energy is -93.48 eV for the cell shown.